# 1
Entry from Alexandria via LeMat-Bulk: a relaxed BaSrLa2 crystal (PBE).

a b c (Å): 13.547 3.925 6.822
angles (deg): 90.00 99.88 90.00
Positions (direct):
Ba: 0.000 0.000 0.000
Ba: 0.500 0.500 0.000
Sr: 0.000 0.500 0.500
Sr: 0.500 0.000 0.500
La: 0.247 0.500 0.244
La: 0.253 0.000 0.756
La: 0.747 0.000 0.244
La: 0.753 0.500 0.756

- SG: No. 12
- Distance to the lowest polymorph of the same formula: 0.391 eV/f.u.
- Size of the total moment: 0.00 μB/f.u.
- Uncorrected energy: -3.189 eV per atom
- Energy of formation from the pure elements: 176 meV per atom

---

# 2
Entry from Alexandria via LeMat-Bulk: a relaxed Cs3Cr2Cl9 crystal (PBE).

a b c (Å): 7.424 7.424 18.555
angles (deg): 90.00 90.00 120.00
Positions (direct):
Cs: 0.000 0.000 0.250
Cs: 0.000 0.000 0.750
Cs: 0.333 0.667 0.071
Cs: 0.333 0.667 0.429
Cs: 0.667 0.333 0.571
Cs: 0.667 0.333 0.929
Cr: 0.333 0.667 0.664
Cr: 0.333 0.667 0.836
Cr: 0.667 0.333 0.164
Cr: 0.667 0.333 0.336
Cl: 0.045 0.523 0.750
Cl: 0.183 0.366 0.597
Cl: 0.183 0.366 0.903
Cl: 0.183 0.817 0.597
Cl: 0.183 0.817 0.903
Cl: 0.366 0.183 0.097
Cl: 0.366 0.183 0.403
Cl: 0.477 0.523 0.750
Cl: 0.477 0.955 0.750
Cl: 0.523 0.045 0.250
Cl: 0.523 0.477 0.250
Cl: 0.634 0.817 0.597
Cl: 0.634 0.817 0.903
Cl: 0.817 0.183 0.097
Cl: 0.817 0.183 0.403
Cl: 0.817 0.634 0.097
Cl: 0.817 0.634 0.403
Cl: 0.955 0.477 0.250

- SG: No. 194
- Size of the total moment: 6.00 μB/f.u.
- Uncorrected energy: -4.310 eV per atom
- Formation energy from raw total energies: -1.57 eV per atom

---

# 3
Entry from Alexandria via LeMat-Bulk: a relaxed Pm4Nd2Sm2Tm crystal (PBE).

a b c (Å): 9.672 9.672 9.756
angles (deg): 115.05 115.05 21.84
Positions (direct):
Pm: 0.018 0.018 0.330
Pm: 0.315 0.315 0.667
Pm: 0.685 0.685 0.333
Pm: 0.982 0.982 0.670
Nd: 0.165 0.165 0.999
Nd: 0.835 0.835 0.001
Sm: 0.352 0.352 0.333
Sm: 0.648 0.648 0.667
Tm: 0.500 0.500 0.000

- SG: No. 12
- Size of the total moment: 0.00 μB/f.u.
- Uncorrected energy: -4.705 eV per atom
- Energy of formation from the pure elements: 12 meV per atom